{
  "formula": "Na3Pu2TlSe6",
  "functional": "PBE",
  "state": "optimized geometry",
  "lattice_angstrom": [[-4.409, -2.811, 5.321], [6.192, -3.635, -2.026], [2.940, 5.628, 3.611]],
  "species": ["Na", "Na", "Na", "Pu", "Pu", "Tl", "Se", "Se", "Se", "Se", "Se", "Se"],
  "frac_coords": [[0.155, 0.845, 0.500], [0.845, 0.155, 0.500], [0.500, 0.500, 0.500], [0.333, 0.667, 0.000], [0.667, 0.333, 0.000], [0.000, 0.000, 0.000], [0.921, 0.551, 0.769], [0.712, 0.712, 0.234], [0.079, 0.449, 0.231], [0.551, 0.921, 0.769], [0.288, 0.288, 0.766], [0.449, 0.079, 0.231]],
  "e_form_raw_ev_per_atom": -1.141,
  "dos_at_fermi_per_ev_cell": 17.0,
  "m_tot_mub_per_cell": 8.0
}